Record 1
Material: BaCeNO
Method: DFT, PBE
State: relaxed

It has space group R3m (No. 160, hexagonal axes), with a = 3.6866 Å, b = 3.6866 Å, c = 19.0540 Å, α = 90.00°, β = 90.00° and γ = 120.00°. The inequivalent atoms are Ba at (0.0000, 0.0000, 0.0000), Ce at (0.0000, 0.0000, 0.4975), N at (0.0000, 0.0000, 0.7717) and O at (0.0000, 0.0000, 0.2316).

As for the total energy: -7.19 eV/atom. Its energy relative to the elements, uncorrected is -1901.3 meV/atom. As for the density of states at the Fermi level: 7.91 states/eV/cell. The calculation puts the density at 6.829 g cm⁻³.

=====

Record 2
Material: BaGaBrCl4
Method: DFT, PBE
State: relaxed

It has space group C2/m (No. 12), with a = 12.2942 Å, b = 9.9828 Å, c = 8.9150 Å, α = 90.00°, β = 104.34° and γ = 90.00°. The inequivalent atoms are Ba at (0.1991, 0.0000, 0.1186), Ga at (0.1422, 0.5000, 0.2661), Br at (0.0309, 0.0000, 0.7942), Cl at (0.0303, 0.5000, 0.7091), Cl at (0.1686, 0.3282, 0.1171) and Cl at (0.2345, 0.0000, 0.5121).

As for the total energy: -3.63 eV/atom. Its energy relative to the elements, uncorrected is -1625.2 meV/atom. As for the density of states at the Fermi level: 0.00 states/eV/cell. The calculation puts the density at 2.687 g cm⁻³.

=====

Record 3
Material: K4AlTl5
Method: DFT, PBE
State: relaxed

It has space group I4 (No. 79), with a = 10.5505 Å, b = 10.5505 Å, c = 7.0183 Å, α = 90.00°, β = 90.00° and γ = 90.00°. The inequivalent atoms are K at (0.0674, 0.3077, 0.0000), Al at (0.0000, 0.0000, 0.2260), Tl at (0.0000, 0.0000, 0.8177) and Tl at (0.0750, 0.2053, 0.4917).

As for the total energy: -2.02 eV/atom. As for the formation energy: -26 kJ/mol of formula units. As for the density of states at the Fermi level: 18.39 states/eV/cell. The calculation puts the density at 5.124 g cm⁻³.

=====

Record 4
Material: SrZr2Cr
Method: DFT, PBE
State: relaxed

It has space group Imm2 (No. 44), with a = 3.3458 Å, b = 4.4458 Å, c = 14.4040 Å, α = 90.00°, β = 90.00° and γ = 90.00°. The inequivalent atoms are Sr at (0.0000, 0.0000, 0.0000), Zr at (0.0000, 0.0000, 0.6633), Zr at (0.0000, 0.5000, 0.7997) and Cr at (0.0000, 0.5000, 0.2980).

As for the total energy: -6.50 eV/atom. The energy above the most stable polymorph in this dataset is 0.262 eV/atom. As for the formation energy: 231 kJ/mol of formula units. As for the density of states at the Fermi level: 8.31 states/eV/cell. The calculation puts the density at 4.992 g cm⁻³.

=====

Record 5
Material: ScFe2AgH
Method: DFT, PBE
State: relaxed

It has space group P4/mmm (No. 123), with a = 4.8073 Å, b = 4.8073 Å, c = 3.3598 Å, α = 90.00°, β = 90.00° and γ = 90.00°. The inequivalent atoms are Sc at (0.0000, 0.0000, 0.0000), Fe at (0.0000, 0.5000, 0.0000), Ag at (0.5000, 0.5000, 0.5000) and H at (0.0000, 0.0000, 0.5000).

As for the total energy: -4.98 eV/atom. As for the density of states at the Fermi level: 7.12 states/eV/cell. The calculation puts the density at 5.679 g cm⁻³.

=====

Record 6
Material: RbCa2Y2
Method: DFT, PBE
State: relaxed

It has space group P4/mbm (No. 127), with a = 10.7995 Å, b = 10.7995 Å, c = 3.7827 Å, α = 90.00°, β = 90.00° and γ = 90.00°. The inequivalent atoms are Rb at (0.0000, 0.0000, 0.0000), Ca at (0.1748, 0.3252, 0.5000) and Y at (0.1103, 0.6103, 0.0000).

As for the total energy: -3.24 eV/atom. The energy above the most stable polymorph in this dataset is 0.000 eV/atom. As for the formation energy: 163 kJ/mol of formula units. As for the density of states at the Fermi level: 12.95 states/eV/cell. The calculation puts the density at 2.585 g cm⁻³.

=====

Record 7
Material: NaLi7Au4
Method: DFT, PBE
State: relaxed

It has space group C2/m (No. 12), with a = 12.8431 Å, b = 4.7268 Å, c = 8.8103 Å, α = 90.00°, β = 125.41° and γ = 90.00°. The inequivalent atoms are Na at (0.0000, 0.0000, 0.0000), Li at (0.0000, 0.5000, 0.0000), Li at (0.0629, 0.0000, 0.3962), Li at (0.2041, 0.5000, 0.6504), Li at (0.2188, 0.0000, 0.8764), Au at (0.0662, 0.5000, 0.7729) and Au at (0.1910, 0.5000, 0.3431).

As for the total energy: -2.67 eV/atom. As for the formation energy: -405 kJ/mol of formula units. As for the density of states at the Fermi level: 7.68 states/eV/cell. The calculation puts the density at 6.548 g cm⁻³.

=====

Record 8
Material: BeHgGe
Method: DFT, PBE
State: relaxed

It has space group P1 (No. 1), with a = 3.6028 Å, b = 3.6029 Å, c = 11.1334 Å, α = 98.76°, β = 90.52° and γ = 119.97°. The inequivalent atoms are Be at (0.0000, 0.0000, 0.0000), Be at (0.3322, 0.6643, 0.9965), Hg at (0.4532, 0.9314, 0.3769), Hg at (0.8739, 0.7550, 0.6200), Ge at (0.6202, 0.2483, 0.8677) and Ge at (0.7122, 0.4158, 0.1286).

As for the total energy: -2.66 eV/atom. As for the formation energy: 64 kJ/mol of formula units. As for the density of states at the Fermi level: 0.88 states/eV/cell. The calculation puts the density at 7.613 g cm⁻³.